[1]
! BaCaY2Co, relaxed, DFT GGA-PBE; values from VASP
! ρ, Mg/m³: 4.1
! Symmetry: No. 123
! Total energy, eV/atom: -4.77
&SYSTEM
  ibrav = 0, nat = 5, ntyp = 4
/
ATOMIC_SPECIES
Ba 137.33 Ba.upf
Ca 40.08 Ca.upf
Y 88.91 Y.upf
Co 58.93 Co.upf
ATOMIC_POSITIONS crystal
Ba 0.0000 0.0000 0.0000
Ca 0.5000 0.5000 0.0000
Y 0.0000 0.5000 0.5000
Y 0.5000 0.0000 0.5000
Co 0.5000 0.5000 0.5000
CELL_PARAMETERS angstrom
5.3415 0.0000 0.0000
0.0000 5.3415 0.0000
0.0000 0.0000 5.8687

---

[2]
! TbY2Th, relaxed, DFT GGA-PBE; values from VASP
! ρ, Mg/m³: 7.3
! Symmetry: No. 166
! Total energy, eV/atom: -6.22
&SYSTEM
  ibrav = 0, nat = 4, ntyp = 3
/
ATOMIC_SPECIES
Tb 158.93 Tb.upf
Y 88.91 Y.upf
Th 232.04 Th.upf
ATOMIC_POSITIONS crystal
Tb 0.0000 0.0000 0.0000
Y 0.2486 0.2486 0.2486
Y 0.7514 0.7514 0.7514
Th 0.5000 0.5000 0.5000
CELL_PARAMETERS angstrom
1.7915 1.0343 11.5721
-1.7915 1.0343 11.5721
0.0000 -2.0686 11.5721

---

[3]
! RbHfH3, relaxed, DFT GGA-PBE; values from VASP
! ρ, Mg/m³: 6.2
! Symmetry: No. 221
! Total energy, eV/atom: -4.08
&SYSTEM
  ibrav = 0, nat = 5, ntyp = 3
/
ATOMIC_SPECIES
Rb 85.47 Rb.upf
Hf 178.49 Hf.upf
H 1.01 H.upf
ATOMIC_POSITIONS crystal
Rb 0.0000 0.0000 0.0000
Hf 0.5000 0.5000 0.5000
H 0.0000 0.5000 0.5000
H 0.5000 0.0000 0.5000
H 0.5000 0.5000 0.0000
CELL_PARAMETERS angstrom
4.1576 0.0000 0.0000
0.0000 4.1576 0.0000
0.0000 0.0000 4.1576

---

[4]
! TlCr2Os, relaxed, DFT GGA-PBE; values from VASP
! ρ, Mg/m³: 13.2
! Symmetry: No. 119
! Total energy, eV/atom: -7.55
&SYSTEM
  ibrav = 0, nat = 4, ntyp = 3
/
ATOMIC_SPECIES
Tl 204.38 Tl.upf
Cr 52.00 Cr.upf
Os 190.23 Os.upf
ATOMIC_POSITIONS crystal
Tl 0.0000 0.0000 0.0000
Cr 0.2500 0.7500 0.5000
Cr 0.5000 0.5000 0.0000
Os 0.7500 0.2500 0.5000
CELL_PARAMETERS angstrom
-1.9909 1.9909 3.9594
1.9909 -1.9909 3.9594
1.9909 1.9909 -3.9594

---

[5]
! LaAl4PdAu2, relaxed, DFT GGA-PBE; values from VASP
! ρ, Mg/m³: 8.1
! Symmetry: No. 166
! Total energy, eV/atom: -4.57
&SYSTEM
  ibrav = 0, nat = 8, ntyp = 4
/
ATOMIC_SPECIES
La 138.91 La.upf
Al 26.98 Al.upf
Pd 106.42 Pd.upf
Au 196.97 Au.upf
ATOMIC_POSITIONS crystal
La 0.0000 0.0000 0.0000
Al 0.1333 0.1333 0.1333
Al 0.4056 0.4056 0.4056
Al 0.5944 0.5944 0.5944
Al 0.8667 0.8667 0.8667
Pd 0.5000 0.5000 0.5000
Au 0.2427 0.2427 0.2427
Au 0.7573 0.7573 0.7573
CELL_PARAMETERS angstrom
2.1884 1.2635 9.2006
-2.1884 1.2635 9.2006
0.0000 -2.5269 9.2006

---

[6]
! Ga2PdRhSe, relaxed, DFT GGA-PBE; values from VASP
! ρ, Mg/m³: 6.5
! Uncorrected formation energy, eV/atom: 0.171
! Symmetry: No. 123
&SYSTEM
  ibrav = 0, nat = 5, ntyp = 4
/
ATOMIC_SPECIES
Ga 69.72 Ga.upf
Pd 106.42 Pd.upf
Rh 102.91 Rh.upf
Se 78.96 Se.upf
ATOMIC_POSITIONS crystal
Ga 0.0000 0.5000 0.0000
Ga 0.5000 0.0000 0.0000
Pd 0.0000 0.0000 0.5000
Rh 0.5000 0.5000 0.0000
Se 0.5000 0.5000 0.5000
CELL_PARAMETERS angstrom
4.7081 0.0000 0.0000
0.0000 4.7081 0.0000
0.0000 0.0000 4.9406